Entry P
A plane-wave DFT calculation with PBE was carried out for a geometry-optimized LaCrMo3 structure.

Output
SG = Pm-3m, No. 221
magnetization = 0.24 μB/atom

Unit cell a=4.664 b=4.664 c=4.664 alpha=90.00 beta=90.00 gamma=90.00
Atoms (fractional coordinates):
La1 0.000 0.000 0.000
Cr1 0.500 0.500 0.500
Mo1 0.000 0.500 0.500
Mo2 0.500 0.000 0.500
Mo3 0.500 0.500 0.000

=====

Entry Q
A plane-wave DFT calculation with PBE was carried out for a geometry-optimized LaCrMo3 structure.

Output
SG = Pm-3m, No. 221
magnetization = 0.00 μB/atom

Unit cell a=4.713 b=4.713 c=4.713 alpha=90.00 beta=90.00 gamma=90.00
Atoms (fractional coordinates):
La1 0.000 0.000 0.000
Cr1 0.500 0.500 0.500
Mo1 0.000 0.000 0.500
Mo2 0.000 0.500 0.000
Mo3 0.500 0.000 0.000

=====

Stability summary: most stable entry P, least stable entry Q.